(1)
TaPAu2 after structural relaxation. Source: Alexandria, functional PBE-GGA.

Structure (extended XYZ):
```
4
Lattice="3.237 0.000 0.000 0.000 3.237 0.000 0.000 0.000 6.587" Properties=species:S:1:pos:R:3 pbc="T T T"
Ta 0.000 0.000 0.000
P 1.619 1.619 5.498
Au 0.000 0.000 3.609
Au 1.619 1.619 1.824
```

Calculated values
Space group   No. 99
Energy relative to the elements   -0.118 eV/atom

---

(2)
PmTl2Ag after structural relaxation. Source: Alexandria, functional PBE-GGA.

Structure (extended XYZ):
```
4
Lattice="4.834 0.000 0.000 0.000 4.834 0.000 0.000 0.000 4.426" Properties=species:S:1:pos:R:3 pbc="T T T"
Pm 0.000 0.000 0.000
Tl 0.000 2.417 2.213
Tl 2.417 0.000 2.213
Ag 2.417 2.417 0.000
```

Calculated values
Space group   No. 123
Energy relative to the elements   -0.222 eV/atom

---

(3)
TiTe2PdI after structural relaxation. Source: Alexandria, functional PBE-GGA.

Structure (extended XYZ):
```
5
Lattice="5.272 0.000 0.000 0.000 5.272 0.000 0.000 0.000 5.570" Properties=species:S:1:pos:R:3 pbc="T T T"
Ti 0.000 0.000 0.000
Te 0.000 2.636 0.000
Te 2.636 0.000 0.000
Pd 2.636 2.636 2.785
I 0.000 0.000 2.785
```

Calculated values
Space group   No. 123
Energy relative to the elements, uncorrected   226 meV per atom

---

(4)
Dy2Tm8Tl after structural relaxation. Source: Alexandria, functional PBE-GGA.

Structure (extended XYZ):
```
11
Lattice="9.578 -2.738 0.000 9.578 2.738 0.000 -0.590 0.000 6.301" Properties=species:S:1:pos:R:3 pbc="T T T"
Dy 4.476 0.000 2.102
Dy 14.091 0.000 4.199
Tm 0.710 0.000 1.704
Tm 2.468 0.000 5.062
Tm 5.965 0.000 5.521
Tm 7.834 0.000 2.536
Tm 10.733 0.000 3.764
Tm 12.602 0.000 0.780
Tm 16.098 0.000 1.239
Tm 17.857 0.000 4.596
Tl 9.578 0.000 0.000
```

Calculated values
Space group   No. 12
Energy relative to the elements   -0.027 eV/atom

---

(5)
Zn3CuPd4 after structural relaxation. Source: Alexandria, functional PBE-GGA.

Structure (extended XYZ):
```
16
Lattice="4.368 0.000 0.000 0.000 4.368 0.000 0.000 0.000 11.977" Properties=species:S:1:pos:R:3 pbc="T T T"
Zn 0.000 0.000 0.000
Zn 0.000 0.000 3.025
Zn 0.000 0.000 8.953
Zn 2.184 2.184 2.964
Zn 2.184 2.184 5.989
Zn 2.184 2.184 9.013
Cu 0.000 0.000 5.989
Cu 2.184 2.184 0.000
Pd 0.000 2.184 1.496
Pd 0.000 2.184 4.493
Pd 0.000 2.184 7.485
Pd 0.000 2.184 10.481
Pd 2.184 0.000 1.496
Pd 2.184 0.000 4.493
Pd 2.184 0.000 7.485
Pd 2.184 0.000 10.481
```

Calculated values
Space group   No. 139
Energy relative to the elements   -0.478 eV/atom

---

(6)
VCrBi2W after structural relaxation. Source: Alexandria, functional PBE-GGA.

Structure (extended XYZ):
```
5
Lattice="5.382 0.000 0.000 0.000 5.382 0.000 0.000 0.000 4.854" Properties=species:S:1:pos:R:3 pbc="T T T"
V 0.000 0.000 0.000
Cr 2.691 2.691 0.000
Bi 0.000 2.691 2.427
Bi 2.691 0.000 2.427
W 0.000 0.000 2.427
```

Calculated values
Space group   No. 123
Energy relative to the elements   1.366 eV/atom

---

(7)
Tb5NiHg after structural relaxation. Source: Alexandria, functional PBE-GGA.

Structure (extended XYZ):
```
14
Lattice="4.735 -3.623 0.000 4.735 3.623 0.000 -3.179 0.000 11.264" Properties=species:S:1:pos:R:3 pbc="T T T"
Tb 2.351 3.566 8.448
Tb 1.920 1.231 1.440
Tb 2.226 1.218 4.920
Tb 0.330 -1.231 7.072
Tb 5.655 1.218 0.712
Tb 0.636 -1.218 10.552
Tb 5.961 1.231 4.192
Tb 4.066 -1.218 6.344
Tb 4.372 -1.231 9.823
Tb 3.941 -3.566 2.816
Ni 0.000 0.000 0.000
Ni -1.590 0.000 5.632
Hg 2.351 0.571 8.448
Hg 3.941 -0.571 2.816
```

Calculated values
Space group   No. 15
Energy relative to the elements   -0.129 eV/atom

---

(8)
Pb5W after structural relaxation. Source: Alexandria, functional PBE-GGA.

Structure (extended XYZ):
```
6
Lattice="5.820 0.000 0.000 -2.910 5.040 0.000 0.000 0.000 5.432" Properties=species:S:1:pos:R:3 pbc="T T T"
Pb -2.004 3.470 0.000
Pb 0.906 1.569 0.000
Pb 0.000 3.360 2.716
Pb 2.910 1.680 2.716
Pb 4.007 0.000 0.000
W 0.000 0.000 2.716
```

Calculated values
Space group   No. 189
Energy relative to the elements   0.659 eV/atom

---

(9)
Fe2HgPt after structural relaxation. Source: Alexandria, functional PBE-GGA.

Structure (extended XYZ):
```
4
Lattice="2.801 0.000 0.000 0.000 4.439 0.000 0.000 0.000 4.890" Properties=species:S:1:pos:R:3 pbc="T T T"
Fe 0.000 0.000 0.000
Fe 0.000 2.219 1.487
Hg 1.401 2.219 3.981
Pt 1.401 0.000 2.257
```

Calculated values
Space group   No. 25
Energy relative to the elements   0.141 eV/atom

---

(10)
ZrB2O5 after structural relaxation. Source: Alexandria, functional PBE-GGA.

Structure (extended XYZ):
```
32
Lattice="4.455 0.000 0.000 0.000 7.010 0.000 -0.141 0.000 9.072" Properties=species:S:1:pos:R:3 pbc="T T T"
Zr -0.018 0.789 1.552
Zr -0.089 2.716 6.087
Zr 4.402 4.294 2.984
Zr 4.332 6.221 7.520
B 1.982 0.613 6.044
B 2.053 2.892 1.508
B 2.021 5.122 5.233
B 2.092 5.393 0.697
B 2.222 1.617 8.374
B 2.292 1.888 3.838
B 2.261 4.118 7.563
B 2.331 6.397 3.027
O 0.837 4.139 7.445
O 0.907 6.375 2.909
O 0.958 4.197 4.834
O 1.028 6.317 0.298
O 1.264 1.088 7.326
O 1.334 2.417 2.790
O 1.459 4.229 1.360
O 1.388 6.285 5.896
O 1.485 1.549 5.026
O 1.555 1.955 0.490
O 2.758 5.054 8.582
O 2.829 5.460 4.046
O 2.925 0.724 3.176
O 2.855 2.781 7.711
O 2.979 4.593 6.282
O 3.050 5.922 1.746
O 3.286 0.692 8.774
O 3.356 2.812 4.238
O 3.406 0.634 6.163
O 3.477 2.871 1.627
```

Calculated values
Space group   No. 14
Energy relative to the elements, uncorrected   -2756 meV per atom

---

(11)
MgGa2IBr after structural relaxation. Source: Alexandria, functional PBE-GGA.

Structure (extended XYZ):
```
5
Lattice="5.916 0.000 0.000 0.000 5.916 0.000 0.000 0.000 5.356" Properties=species:S:1:pos:R:3 pbc="T T T"
Mg 0.000 0.000 0.000
Ga 0.000 2.958 2.678
Ga 2.958 0.000 2.678
I 2.958 2.958 0.000
Br 0.000 0.000 2.678
```

Calculated values
Space group   No. 123
Energy relative to the elements, uncorrected   100 meV per atom

---

(12)
ScCdAs2 after structural relaxation. Source: Alexandria, functional PBE-GGA.

Structure (extended XYZ):
```
4
Lattice="3.638 0.000 0.000 0.000 3.685 0.000 0.000 0.000 6.232" Properties=species:S:1:pos:R:3 pbc="T T T"
Sc 0.000 0.000 0.000
Cd 0.000 0.000 3.116
As 1.819 1.842 1.293
As 1.819 1.842 4.939
```

Calculated values
Space group   No. 47
Energy relative to the elements   -0.482 eV/atom

---

(13)
MnFeS2 after structural relaxation. Source: Alexandria, functional PBE-GGA.

Structure (extended XYZ):
```
16
Lattice="5.868 0.000 0.000 0.000 5.868 0.000 0.000 0.000 5.868" Properties=species:S:1:pos:R:3 pbc="T T T"
Mn 0.000 0.000 0.000
Mn 0.000 2.934 2.934
Mn 2.934 0.000 2.934
Mn 2.934 2.934 0.000
Fe 0.000 0.000 2.934
Fe 0.000 2.934 0.000
Fe 2.934 0.000 0.000
Fe 2.934 2.934 2.934
S 1.467 1.467 1.467
S 1.467 1.467 4.401
S 1.467 4.401 1.467
S 1.467 4.401 4.401
S 4.401 1.467 1.467
S 4.401 1.467 4.401
S 4.401 4.401 1.467
S 4.401 4.401 4.401
```

Calculated values
Space group   No. 225
Energy relative to the elements, uncorrected   43 meV per atom

---

(14)
SbH2 after structural relaxation. Source: Alexandria, functional PBE-GGA.

Structure (extended XYZ):
```
6
Lattice="4.698 0.000 0.000 -1.162 4.578 0.000 -2.259 -1.687 5.501" Properties=species:S:1:pos:R:3 pbc="T T T"
Sb 0.000 0.000 0.000
Sb 0.486 1.266 2.608
H 2.980 0.154 0.229
H 1.661 2.304 1.870
H 1.732 0.103 2.969
H 3.505 3.014 0.767
```

Calculated values
Space group   No. 1
Energy   -20.23 eV for the cell shown

---

(15)
ZrPbAu2 after structural relaxation. Source: Alexandria, functional PBE-GGA.

Structure (extended XYZ):
```
4
Lattice="3.445 0.000 0.000 0.000 3.458 0.000 0.000 0.000 7.342" Properties=species:S:1:pos:R:3 pbc="T T T"
Zr 0.000 0.000 0.000
Pb 1.722 1.729 2.236
Au 0.000 0.000 4.249
Au 1.722 1.729 5.834
```

Calculated values
Space group   No. 25
Energy relative to the elements   -0.168 eV/atom

---

(16)
Ti2CuW2 after structural relaxation. Source: Alexandria, functional PBE-GGA.

Structure (extended XYZ):
```
10
Lattice="6.791 0.000 0.000 0.000 6.791 0.000 0.000 0.000 3.623" Properties=species:S:1:pos:R:3 pbc="T T T"
Ti 1.164 2.231 0.000
Ti 2.231 5.626 0.000
Ti 4.559 1.164 0.000
Ti 5.626 4.559 0.000
Cu 0.000 0.000 1.812
Cu 3.395 3.395 1.812
W 0.885 4.280 1.812
W 2.511 0.885 1.812
W 4.280 5.906 1.812
W 5.906 2.511 1.812
```

Calculated values
Space group   No. 127
Energy relative to the elements   0.421 eV/atom

---

(17)
UIr2Ru2 after structural relaxation. Source: Alexandria, functional PBE-GGA.

Structure (extended XYZ):
```
10
Lattice="4.644 0.000 0.000 0.710 4.648 0.000 0.024 0.609 7.882" Properties=species:S:1:pos:R:3 pbc="T T T"
U 1.100 0.653 2.484
U 4.278 4.604 5.398
Ir 0.355 2.324 0.000
Ir 2.682 2.669 1.297
Ir 2.689 2.628 3.941
Ir 2.696 2.587 6.586
Ru 0.383 1.873 5.195
Ru 1.904 5.069 7.421
Ru 3.474 0.188 0.462
Ru 4.995 3.384 2.687
```

Calculated values
Space group   No. 2
Energy relative to the elements   -0.169 eV/atom

---

(18)
Rb2BaLi2 after structural relaxation. Source: Alexandria, functional PBE-GGA.

Structure (extended XYZ):
```
10
Lattice="6.524 0.000 0.000 0.000 6.524 0.000 0.000 0.000 13.182" Properties=species:S:1:pos:R:3 pbc="T T T"
Rb 0.000 0.000 1.843
Rb 0.000 0.000 11.339
Rb 3.262 3.262 4.748
Rb 3.262 3.262 8.434
Ba 0.000 0.000 6.591
Ba 3.262 3.262 0.000
Li 0.000 3.262 3.295
Li 0.000 3.262 9.886
Li 3.262 0.000 3.295
Li 3.262 0.000 9.886
```

Calculated values
Space group   No. 139
Energy relative to the elements   0.292 eV/atom

---

(19)
LaPmIr after structural relaxation. Source: Alexandria, functional PBE-GGA.

Structure (extended XYZ):
```
12
Lattice="7.032 0.000 0.000 0.000 7.032 0.000 0.000 0.000 7.032" Properties=species:S:1:pos:R:3 pbc="T T T"
La 0.000 0.000 0.000
La 0.000 3.516 3.516
La 3.516 0.000 3.516
La 3.516 3.516 0.000
Pm 0.000 0.000 3.516
Pm 0.000 3.516 0.000
Pm 3.516 0.000 0.000
Pm 3.516 3.516 3.516
Ir 1.758 1.758 1.758
Ir 1.758 5.274 5.274
Ir 5.274 1.758 5.274
Ir 5.274 5.274 1.758
```

Calculated values
Space group   No. 216
Energy relative to the elements   -0.556 eV/atom

---

(20)
CaPtPb2 after structural relaxation. Source: Alexandria, functional PBE-GGA.

Structure (extended XYZ):
```
16
Lattice="4.514 0.000 0.000 0.000 4.514 0.000 0.000 0.000 21.322" Properties=species:S:1:pos:R:3 pbc="T T T"
Ca 0.000 0.000 0.000
Ca 0.000 2.257 5.331
Ca 2.257 0.000 15.992
Ca 2.257 2.257 10.661
Pt 0.000 0.000 10.661
Pt 0.000 2.257 15.992
Pt 2.257 0.000 5.331
Pt 2.257 2.257 0.000
Pb 1.021 1.129 13.326
Pb 1.129 3.278 18.657
Pb 1.129 3.494 7.996
Pb 1.236 1.129 2.665
Pb 3.278 3.386 2.665
Pb 3.386 1.021 7.996
Pb 3.386 1.236 18.657
Pb 3.494 3.386 13.326
```

Calculated values
Space group   No. 122
Energy relative to the elements   -0.203 eV/atom